Entry from the Alexandria database: crystalline MnHF at its relaxed geometry (GGA+U).

Lattice parameters (Å, degrees): 4.9761 4.9761 5.4821 90.00 90.00 147.54
Fractional positions:
Mn (0.0000, 0.0000, 0.0000)
Mn (0.0000, 0.0000, 0.5000)
H (0.4051, 0.5949, 0.7500)
H (0.5949, 0.4051, 0.2500)
F (0.3642, 0.6358, 0.2500)
F (0.6358, 0.3642, 0.7500)

Values from the calculation:
M_tot (μB/f.u.): 4.95
Energy above the most stable polymorph in this dataset (kJ/mol of formula units): 87
Crystal system: orthorhombic